(1)
Sm3MgMn: relaxed, GGA-PBE.

Lattice parameters (Å, degrees): 5.2913 5.2913 5.2913 90.00 90.00 90.00
With the nearest neighbours (Å) after each atom.
Space group Pm-3m (No. 221)
Unique sites:
Sm1 0.0000 0.0000 0.5000 (multiplicity 3)  2 Mn 2.65
Mg1 0.5000 0.5000 0.5000 (multiplicity 1)  12 Sm 3.74
Mn1 0.0000 0.0000 0.0000 (multiplicity 1)  6 Sm 2.65

Results
Its total magnetic moment is 0.79 μB per cell. The value obtained for the energy of formation from the pure elements is 1.06 eV/f.u. The volume comes out at 148 Å³/f.u.

***

(2)
SmThMgMn: relaxed, GGA-PBE.

Lattice parameters (Å, degrees): 7.4455 7.4455 7.4455 90.00 90.00 90.00
With the nearest neighbours (Å) after each atom.
Space group F-43m (No. 216)
Unique sites:
Sm1 0.0000 0.0000 0.0000 (multiplicity 4)  4 Mn 3.22, 4 Mg 3.22
Th1 0.0000 0.0000 0.5000 (multiplicity 4)  4 Mn 3.22, 4 Mg 3.22
Mg1 0.2500 0.2500 0.2500 (multiplicity 4)  4 Th 3.22, 4 Sm 3.22
Mn1 0.2500 0.2500 0.7500 (multiplicity 4)  4 Th 3.22, 4 Sm 3.22

Results
Its total magnetic moment is 10.67 μB per cell. The value obtained for the energy of formation from the pure elements is 0.72 eV/f.u. The volume comes out at 103 Å³/f.u.

***

(3)
SmTmMgMn: relaxed, GGA-PBE.

Lattice parameters (Å, degrees): 7.3466 7.3466 7.3466 90.00 90.00 90.00
With the nearest neighbours (Å) after each atom.
Space group F-43m (No. 216)
Unique sites:
Sm1 0.0000 0.0000 0.0000 (multiplicity 4)  4 Mn 3.18, 4 Mg 3.18
Tm1 0.0000 0.0000 0.5000 (multiplicity 4)  4 Mg 3.18, 4 Mn 3.18
Mg1 0.2500 0.2500 0.2500 (multiplicity 4)  4 Tm 3.18, 4 Sm 3.18
Mn1 0.2500 0.2500 0.7500 (multiplicity 4)  4 Tm 3.18, 4 Sm 3.18

Results
Its total magnetic moment is 12.64 μB per cell. The value obtained for the energy of formation from the pure elements is 0.41 eV/f.u. The volume comes out at 99 Å³/f.u.

***

(4)
SmYMgMn: relaxed, GGA-PBE.

Lattice parameters (Å, degrees): 7.4159 7.4159 7.4159 90.00 90.00 90.00
With the nearest neighbours (Å) after each atom.
Space group F-43m (No. 216)
Unique sites:
Sm1 0.0000 0.0000 0.0000 (multiplicity 4)  4 Mn 3.21, 4 Mg 3.21
Y1 0.0000 0.0000 0.5000 (multiplicity 4)  4 Mg 3.21, 4 Mn 3.21
Mg1 0.2500 0.2500 0.7500 (multiplicity 4)  4 Sm 3.21, 4 Y 3.21
Mn1 0.2500 0.2500 0.2500 (multiplicity 4)  4 Sm 3.21, 4 Y 3.21

Results
Its total magnetic moment is 12.91 μB per cell. The value obtained for the energy of formation from the pure elements is 0.39 eV/f.u. The volume comes out at 102 Å³/f.u.